Compound: Pm2BPt6
Source: the Alexandria database
Functional: PBE-GGA
Structure: optimized geometry

- Crystal system: cubic
- Energy of formation from the pure elements: -905 meV per atom
- Space-group type: Fm-3m

Cell lengths 6.0415, 6.0415, 6.0415 Å; angles 60.00, 60.00, 60.00 degrees
Closest atoms and distances in Å follow each position.
Element x y z (fractional)
Pm  0.2500  0.2500  0.2500  12 Pt 3.02
Pm  0.7500  0.7500  0.7500  12 Pt 3.02
Pt  0.7437  0.2563  0.2563  1 B 2.19
Pt  0.2563  0.7437  0.7437  1 B 2.19
Pt  0.7437  0.7437  0.2563  1 B 2.19
Pt  0.7437  0.2563  0.7437  1 B 2.19
Pt  0.2563  0.7437  0.2563  1 B 2.19
Pt  0.2563  0.2563  0.7437  1 B 2.19
B  0.0000  0.0000  0.0000  6 Pt 2.19

=====

Compound: Tm4Mg3Pd
Source: the Alexandria database
Functional: PBE-GGA
Structure: optimized geometry

- Crystal system: tetragonal
- Energy of formation from the pure elements: -276 meV per atom
- Space-group type: P4/mmm

Cell lengths 3.6222, 3.6222, 15.1219 Å; angles 90.00, 90.00, 90.00 degrees
Closest atoms and distances in Å follow each position.
Element x y z (fractional)
Tm  0.0000  0.0000  0.6305  8 Mg 3.22-3.23
Tm  0.0000  0.0000  0.8932  4 Pd 3.03, 1 Tm 3.23, 4 Mg 3.27
Tm  0.0000  0.0000  0.3695  8 Mg 3.22-3.23
Tm  0.0000  0.0000  0.1068  4 Pd 3.03, 1 Tm 3.23, 4 Mg 3.27
Mg  0.5000  0.5000  0.5000  8 Tm 3.23
Mg  0.5000  0.5000  0.2408  8 Tm 3.22-3.27
Mg  0.5000  0.5000  0.7592  8 Tm 3.22-3.27
Pd  0.5000  0.5000  0.0000  8 Tm 3.03

=====

Compound: CrWAu
Source: the Alexandria database
Functional: PBE-GGA
Structure: optimized geometry

- Crystal system: cubic
- Energy of formation from the pure elements: 923 meV per atom
- Space-group type: F-43m

Cell lengths 4.2074, 4.2074, 4.2074 Å; angles 60.00, 60.00, 60.00 degrees
Closest atoms and distances in Å follow each position.
Element x y z (fractional)
W  0.0000  0.0000  0.0000  4 Cr 2.58
Au  0.5000  0.5000  0.5000  4 Cr 2.58
Cr  0.7500  0.7500  0.7500  4 Au 2.58, 4 W 2.58

=====

Compound: LiErMgIn2
Source: the Alexandria database
Functional: PBE-GGA
Structure: optimized geometry

- Crystal system: orthorhombic
- Energy of formation from the pure elements: -195 meV per atom
- Space-group type: Pmma

Cell lengths 6.3707, 5.6875, 6.4141 Å; angles 90.00, 90.00, 90.00 degrees
Closest atoms and distances in Å follow each position.
Element x y z (fractional)
Er  0.7930  0.7500  0.5000  6 In 3.23-3.38, 2 Mg 3.36
Er  0.2070  0.2500  0.5000  6 In 3.23-3.38, 2 Mg 3.36
In  0.7298  0.2500  0.2680  2 Li 2.82, 1 Mg 2.90, 1 In 2.98
In  0.2702  0.7500  0.2680  2 Li 2.82, 1 Mg 2.90, 1 In 2.98
In  0.7298  0.2500  0.7320  2 Li 2.82, 1 Mg 2.90, 1 In 2.98
In  0.2702  0.7500  0.7320  2 Li 2.82, 1 Mg 2.90, 1 In 2.98
Li  0.0000  0.0000  0.0000  2 Mg 2.72, 4 In 2.82, 2 Li 2.84
Li  0.0000  0.5000  0.0000  2 Mg 2.72, 4 In 2.82, 2 Li 2.84
Mg  0.6359  0.7500  0.0000  2 Li 2.72, 2 In 2.90
Mg  0.3641  0.2500  0.0000  2 Li 2.72, 2 In 2.90

=====

Compound: TiInTeI2
Source: the Alexandria database
Functional: PBE-GGA
Structure: optimized geometry

- ΔE_f (raw): 439 meV/atom
- Crystal system: tetragonal
- Space-group type: P4/mmm

Cell lengths 5.8155, 5.8155, 5.8014 Å; angles 90.00, 90.00, 90.00 degrees
Closest atoms and distances in Å follow each position.
Element x y z (fractional)
Ti  0.5000  0.5000  0.5000  8 I 4.11, 4 Te 4.11
In  0.0000  0.0000  0.0000  2 Te 2.90, 4 I 2.91
I  0.0000  0.5000  0.0000  2 In 2.91
I  0.5000  0.0000  0.0000  2 In 2.91
Te  0.0000  0.0000  0.5000  2 In 2.90

=====

Compound: Ba2SmMg3H12
Source: the Alexandria database
Functional: PBE-GGA
Structure: optimized geometry

- Crystal system: trigonal
- Space-group type: R-3m

Cell lengths 6.7952, 6.7952, 6.7952 Å; angles 61.74, 61.74, 61.74 degrees
Closest atoms and distances in Å follow each position.
Element x y z (fractional)
H  0.7373  0.1280  0.7373  2 Mg 1.92
H  0.1335  0.1335  0.5866  1 Mg 1.94
H  0.2627  0.2627  0.8720  2 Mg 1.92
H  0.1280  0.7373  0.7373  2 Mg 1.92
H  0.7373  0.7373  0.1280  2 Mg 1.92
H  0.4134  0.8665  0.8665  1 Mg 1.94
H  0.8720  0.2627  0.2627  2 Mg 1.92
H  0.5866  0.1335  0.1335  1 Mg 1.94
H  0.1335  0.5866  0.1335  1 Mg 1.94
H  0.8665  0.8665  0.4134  1 Mg 1.94
H  0.8665  0.4134  0.8665  1 Mg 1.94
H  0.2627  0.8720  0.2627  2 Mg 1.92
Mg  0.5000  0.0000  0.0000  6 H 1.92-1.94
Mg  0.0000  0.0000  0.5000  6 H 1.92-1.94
Mg  0.0000  0.5000  0.0000  6 H 1.92-1.94
Ba  0.3861  0.3861  0.3861  3 H 2.47
Ba  0.6139  0.6139  0.6139  3 H 2.47
Sm  0.0000  0.0000  0.0000  6 H 2.34

=====

Compound: NbSbRu2N
Source: the Alexandria database
Functional: PBE-GGA
Structure: optimized geometry

- ΔE_f (raw): 396 meV/atom
- Crystal system: tetragonal
- Space-group type: P4/mmm

Cell lengths 3.9890, 3.9890, 4.8527 Å; angles 90.00, 90.00, 90.00 degrees
Closest atoms and distances in Å follow each position.
Element x y z (fractional)
Ru  0.0000  0.5000  0.0000  2 N 1.99
Ru  0.5000  0.0000  0.0000  2 N 1.99
Sb  0.0000  0.0000  0.5000  2 N 2.43
Nb  0.5000  0.5000  0.5000  4 Sb 2.82, 8 Ru 3.14
N  0.0000  0.0000  0.0000  4 Ru 1.99

=====

Compound: InAgPb
Source: the Alexandria database
Functional: PBE-GGA
Structure: optimized geometry

- Crystal system: triclinic
- Energy of formation from the pure elements: 49 meV per atom
- Space-group type: P-1

Cell lengths 3.2673, 7.0664, 6.8709 Å; angles 105.83, 99.56, 90.34 degrees
Closest atoms and distances in Å follow each position.
Element x y z (fractional)
Ag  0.9442  0.2695  0.6491  4 In 3.01-3.06, 3 Ag 3.06-3.27, 4 Pb 3.13-3.26
Ag  0.9335  0.8345  0.6397  4 In 3.01-3.06, 3 Ag 3.06-3.27, 4 Pb 3.13-3.26
In  0.5611  0.1303  0.9588  4 Ag 3.01-3.06, 3 In 3.25-3.27, 1 Pb 3.34
In  0.3164  0.9736  0.3300  4 Ag 3.01-3.06, 3 In 3.25-3.27, 1 Pb 3.34
Pb  0.5709  0.6323  0.9320  4 Ag 3.13-3.26, 2 Pb 3.27, 2 In 3.34-3.47
Pb  0.3074  0.4717  0.3570  4 Ag 3.13-3.26, 2 Pb 3.27, 2 In 3.34-3.47

=====

| no. | total DFT energy (no corrections) (eV per cell) |
| --- | --- |
| 1 | -60.57 |
| 2 | -30.07 |
| 3 | -23.09 |
| 4 | -29.04 |
| 5 | -14.68 |
| 6 | -59.24 |
| 7 | -39.09 |
| 8 | -18.30 |